The following is a DFT calculation (GGA-PBE) of an optimized crystal structure of ThGaPdPt.

Output
ΔE_f, meV/atom: -306
N(E_F), states/eV/atom: 0.810
Magnetic moment, μB/f.u.: 0.0
Distance to the lowest polymorph of the same formula, meV per atom: 494

The structure in POSCAR format:
```
ThGaPdPt
1.0
3.6071 0.0000 0.0000
0.0000 4.6865 0.0000
0.0000 0.0000 5.3375
Th Ga Pd Pt
1 1 1 1
Cartesian
0.0000 0.0000 0.0000
1.8036 0.0000 2.6688
1.8036 2.3432 0.0000
1.8036 2.3432 2.6688
```